No. 1
A relaxed structure of Tb2ScTl3S6. Source: Alexandria, functional PBE-GGA.

Unit cell a=6.879 b=6.879 c=7.845 alpha=98.41 beta=98.41 gamma=119.95
Atoms (fractional coordinates):
Tl 0.831 0.169 0.500
Tl 0.500 0.500 0.500
Tl 0.169 0.831 0.500
Tb 0.667 0.333 0.000
Tb 0.333 0.667 0.000
S 0.616 0.935 0.806
S 0.065 0.384 0.194
S 0.935 0.616 0.806
S 0.746 0.746 0.198
S 0.254 0.254 0.802
S 0.384 0.065 0.194
Sc 0.000 0.000 0.000

Computed properties:
V	307.6	Å³ per cell
formation energy (no corrections)	-1.44	eV per atom

=====

No. 2
A relaxed structure of CsSnP2S8. Source: Alexandria, functional PBE-GGA.

Unit cell a=6.052 b=6.052 c=10.905 alpha=73.89 beta=73.89 gamma=60.00
Each line ends with the local moment (μB).
Atoms (fractional coordinates):
S 0.945 0.600 0.152  0.04
S 0.600 0.302 0.152  0.04
S 0.400 0.698 0.848  0.04
S 0.199 0.199 0.404  0.06
S 0.698 0.055 0.848  0.04
S 0.801 0.801 0.596  0.06
S 0.055 0.400 0.848  0.04
S 0.302 0.945 0.152  0.04
P 0.737 0.737 0.789  0.00
P 0.263 0.263 0.211  0.00
Sn 0.000 0.000 0.000  0.00
Cs 0.500 0.500 0.500  0.00

Computed properties:
V	327.6	Å³ per cell
formation energy (no corrections)	-0.30	eV per atom

=====

No. 3
A relaxed structure of AcScAlHg. Source: Alexandria, functional PBE-GGA.

Unit cell a=5.351 b=5.351 c=5.351 alpha=60.00 beta=60.00 gamma=60.00
Atoms (fractional coordinates):
Al 0.000 0.000 0.000
Hg 0.500 0.500 0.500
Ac 0.750 0.750 0.750
Sc 0.250 0.250 0.250

Computed properties:
electronic total energy	-3.88	eV per atom
V	108.3	Å³ per cell

=====

No. 4
A relaxed structure of TbZrCd4. Source: Alexandria, functional PBE-GGA.

Unit cell a=4.919 b=4.918 c=6.619 alpha=90.01 beta=90.01 gamma=120.01
Atoms (fractional coordinates):
Cd 0.337 0.166 0.234
Cd 0.337 0.166 0.762
Cd 0.671 0.833 0.762
Cd 0.671 0.833 0.234
Tb 0.004 0.499 0.498
Zr 0.004 0.499 0.998

Computed properties:
polymorph energy (0 for the lowest one)	0.00	eV/f.u.
V	138.6	Å³ per cell